Ba2V2CuClO7 (GGA+U, relaxed); total energy = -6.6742 eV per atom; SG = P4bm; magnetic moment = 0.153 μB/cell
1.0
-6.676 6.063 1.103
-3.859 -5.381 6.221
2.935 2.507 3.989
Ba O V Cl Cu
4 14 4 2 2
Cartesian
-6.581 0.653 7.380
-5.602 4.207 4.427
-2.692 -1.612 5.942
-1.714 1.943 2.989
-1.211 -0.419 1.561
-4.029 -0.897 8.276
-4.923 2.091 2.715
-5.515 4.499 1.638
-2.898 4.660 3.951
-4.711 -3.553 6.106
-6.437 3.431 7.328
-3.427 -0.276 3.102
-0.490 0.332 4.900
-5.304 -1.145 5.029
-6.799 1.222 4.642
-3.148 3.194 0.810
-1.740 -2.528 3.369
-9.015 1.365 6.183
-1.996 5.449 5.217
-5.511 4.197 8.590
0.426 1.140 6.142
-3.088 -0.112 9.515
-3.688 1.690 5.809
1.580 1.349 2.148
2.864 2.446 3.892
-2.404 2.786 7.554